Entry 1:
Computed, not measured: a relaxed CuAgSb crystal at the PBE level of DFT.

Output
- magnetic moment (μB per atom) = 0.00
- ΔE to the lowest computed polymorph (eV/atom) = 0.1651
- formation energy without anion corrections (meV per atom) = 209.0
- crystal system = trigonal

Lattice parameters (Å, degrees): 4.3863 4.3863 3.6063 90.00 90.00 120.00
With the nearest neighbours (Å) after each atom.
Fractional coordinates of all 3 atoms:
Cu 0.0000 0.0000 0.0000  3 Sb 2.61, 3 Ag 2.81
Ag 0.3333 0.6667 0.6619  3 Cu 2.81, 6 Sb 3.08-3.14
Sb 0.6667 0.3333 0.1753  3 Cu 2.61

***

Entry 2:
Computed, not measured: a relaxed CuAgSb2 crystal at the PBE level of DFT.

Output
- magnetic moment (μB per atom) = 0.00
- ΔE to the lowest computed polymorph (eV/atom) = 0.0066
- formation energy without anion corrections (meV per atom) = 131.3
- crystal system = trigonal

Lattice parameters (Å, degrees): 8.3487 8.3487 8.3487 24.17 24.17 24.17
With the nearest neighbours (Å) after each atom.
Fractional coordinates of all 4 atoms:
Cu 0.0000 0.0000 0.0000  6 Sb 2.73
Ag 0.5000 0.5000 0.5000  6 Sb 2.99
Sb 0.2574 0.2574 0.2574  3 Cu 2.73, 3 Ag 2.99
Sb 0.7426 0.7426 0.7426  3 Cu 2.73, 3 Ag 2.99

***

Entry 3:
Computed, not measured: a relaxed CuAgSb crystal at the PBE level of DFT.

Output
- magnetic moment (μB per atom) = 0.00
- ΔE to the lowest computed polymorph (eV/atom) = 0.0038
- formation energy without anion corrections (meV per atom) = 47.7
- crystal system = monoclinic

Lattice parameters (Å, degrees): 4.3031 4.3010 6.2913 90.00 90.03 90.00
With the nearest neighbours (Å) after each atom.
Fractional coordinates of all 6 atoms:
Cu 0.0000 0.0000 0.0000  4 Sb 2.75-2.76, 4 Ag 2.76, 4 Cu 3.04
Cu 0.4999 0.5000 0.0000  4 Sb 2.75-2.76, 4 Ag 2.76, 4 Cu 3.04
Ag 0.0003 0.5000 0.7250  4 Cu 2.76, 5 Sb 2.84-3.04
Ag 0.5011 0.0000 0.2752  4 Cu 2.76, 5 Sb 2.84-3.04
Sb 0.0010 0.5000 0.2734  4 Cu 2.75-2.76, 5 Ag 2.84-3.04
Sb 0.5004 0.0000 0.7268  4 Cu 2.75-2.76, 5 Ag 2.84-3.04

***

Asked for calculated total energy across the records above, the calculation gives -3.481; -3.667; -3.642 eV/atom in order.